[1]
## SmTl2In (GGA-PBE)

Data for an optimized crystal structure of SmTl2In.

## Properties
Size of the total moment (μB/atom): 0.000
E (Ha/atom): -0.118
Space group: P4/mmm, No. 123
Formation energy from the elements (eV/atom): -0.162
Volume (Å³/atom): 28.18

abc: 3.9844 3.9844 7.1009
angles: 90.00 90.00 90.00
With the nearest neighbours (Å) after each atom.
Atoms (fractional coordinates):
Tl1 0.0000 0.0000 0.7603  4 In 3.29, 4 Sm 3.37, 1 Tl 3.40
Tl2 0.0000 0.0000 0.2397  4 In 3.29, 4 Sm 3.37, 1 Tl 3.40
Sm1 0.5000 0.5000 0.5000  8 Tl 3.37, 2 In 3.55
In1 0.5000 0.5000 0.0000  8 Tl 3.29, 2 Sm 3.55



[2]
## Sm2Tl3In3 (GGA-PBE)

Data for an optimized crystal structure of Sm2Tl3In3.

## Properties
Size of the total moment (μB/atom): 0.000
E (Ha/atom): -0.127
Space group: Pmmm, No. 47
Formation energy from the elements (eV/atom): -0.366
Volume (Å³/atom): 26.78

abc: 4.7289 4.7398 9.5595
angles: 90.00 90.00 90.00
With the nearest neighbours (Å) after each atom.
Atoms (fractional coordinates):
Sm1 0.0000 0.0000 0.7482  6 Tl 3.35-3.37, 6 In 3.35-3.38
Sm2 0.0000 0.0000 0.2518  6 Tl 3.35-3.37, 6 In 3.35-3.38
Tl1 0.5000 0.5000 0.7467  6 In 3.34-3.38, 4 Sm 3.35, 2 Tl 3.39
Tl2 0.5000 0.5000 0.2533  6 In 3.34-3.38, 4 Sm 3.35, 2 Tl 3.39
Tl3 0.5000 0.0000 0.0000  4 In 3.35, 4 Sm 3.37, 4 Tl 3.39
In1 0.5000 0.0000 0.5000  4 Tl 3.34, 4 In 3.35, 4 Sm 3.35
In2 0.0000 0.5000 0.0000  8 Tl 3.35-3.38, 4 Sm 3.38
In3 0.0000 0.5000 0.5000  4 Tl 3.34, 4 In 3.35, 4 Sm 3.35



[3]
## Sm7TlIn4 (GGA-PBE)

Data for an optimized crystal structure of Sm7TlIn4.

## Properties
Size of the total moment (μB/atom): 0.000
E (Ha/atom): -0.149
Space group: C2/m, No. 12
Formation energy from the elements (eV/atom): -0.183
Volume (Å³/atom): 31.16

abc: 5.9466 9.4342 7.6856
angles: 76.12 67.24 71.63
With the nearest neighbours (Å) after each atom.
Atoms (fractional coordinates):
Sm1 0.7963 0.9059 0.5014  3 Sm 3.18-3.42, 4 In 3.30-3.47, 1 Tl 3.54
Sm2 0.2037 0.0941 0.4986  3 Sm 3.18-3.42, 4 In 3.30-3.47, 1 Tl 3.54
Sm3 0.0588 0.6458 0.2367  3 In 3.17-3.28, 2 Sm 3.18-3.44, 1 Tl 3.38
Sm4 0.9412 0.3542 0.7633  3 In 3.17-3.28, 2 Sm 3.18-3.44, 1 Tl 3.38
Sm5 0.3144 0.6118 0.7595  4 In 3.00-3.24
Sm6 0.5000 0.0000 0.0000  2 Tl 2.97, 4 In 3.08
Sm7 0.6856 0.3882 0.2405  4 In 3.00-3.24
Tl1 0.0000 0.0000 0.0000  2 Sm 2.97
In1 0.5564 0.2410 0.6462  5 Sm 3.00-3.30, 1 In 3.31
In2 0.4436 0.7590 0.3538  5 Sm 3.00-3.30, 1 In 3.31
In3 0.7066 0.6719 0.9150  6 Sm 3.08-3.37, 1 In 3.31
In4 0.2934 0.3281 0.0850  6 Sm 3.08-3.37, 1 In 3.31



[4]
## Sm3TlIn2 (GGA-PBE)

Data for an optimized crystal structure of Sm3TlIn2.

## Properties
Size of the total moment (μB/atom): 0.000
E (Ha/atom): -0.151
Space group: P4/mmm, No. 123
Formation energy from the elements (eV/atom): -0.455
Volume (Å³/atom): 28.38

abc: 3.8266 3.8266 11.6302
angles: 90.00 90.00 90.00
With the nearest neighbours (Å) after each atom.
Atoms (fractional coordinates):
Sm1 0.0000 0.0000 0.0000  8 In 3.32
Sm2 0.0000 0.0000 0.6697  4 In 3.32, 4 Tl 3.35
Sm3 0.0000 0.0000 0.3303  4 In 3.32, 4 Tl 3.35
Tl1 0.5000 0.5000 0.5000  8 Sm 3.35
In1 0.5000 0.5000 0.8345  8 Sm 3.32
In2 0.5000 0.5000 0.1655  8 Sm 3.32



[5]
## Sm10Tl3In3 (GGA-PBE)

Data for an optimized crystal structure of Sm10Tl3In3.

## Properties
Size of the total moment (μB/atom): 0.000
E (Ha/atom): -0.155
Space group: P-62m, No. 189
Formation energy from the elements (eV/atom): -0.321
Volume (Å³/atom): 31.11

abc: 6.6949 9.2659 9.2659
angles: 120.00 90.00 90.00
With the nearest neighbours (Å) after each atom.
Atoms (fractional coordinates):
Sm1 0.2505 0.6667 0.3333  3 In 3.28, 3 Tl 3.29, 2 Sm 3.34-3.35
Sm2 0.2505 0.3333 0.6667  3 In 3.28, 3 Tl 3.29, 2 Sm 3.34-3.35
Sm3 0.7495 0.3333 0.6667  3 In 3.28, 3 Tl 3.29, 2 Sm 3.34-3.35
Sm4 0.7495 0.6667 0.3333  3 In 3.28, 3 Tl 3.29, 2 Sm 3.34-3.35
Sm5 0.5000 0.0000 0.7647  3 In 3.24-3.36
Sm6 0.5000 0.7647 0.0000  3 In 3.24-3.36
Sm7 0.5000 0.2353 0.2353  3 In 3.24-3.36
Sm8 0.0000 0.0000 0.2355  3 Tl 3.24-3.37
Sm9 0.0000 0.2355 0.0000  3 Tl 3.24-3.37
Sm10 0.0000 0.7645 0.7645  3 Tl 3.24-3.37
Tl1 0.0000 0.0000 0.5988  7 Sm 3.24-3.37
Tl2 0.0000 0.5988 0.0000  7 Sm 3.24-3.37
Tl3 0.0000 0.4012 0.4012  7 Sm 3.24-3.37
In1 0.5000 0.0000 0.4016  7 Sm 3.24-3.36
In2 0.5000 0.4016 0.0000  7 Sm 3.24-3.36
In3 0.5000 0.5984 0.5984  7 Sm 3.24-3.36



[6]
## Sm6Tl3In (GGA-PBE)

Data for an optimized crystal structure of Sm6Tl3In.

## Properties
Size of the total moment (μB/atom): 0.000
E (Ha/atom): -0.151
Space group: P2_1/m, No. 11
Energy above the most stable polymorph in this dataset (eV/f.u.): 0.00
Formation energy from the elements (eV/atom): -0.307
Volume (Å³/atom): 29.66

abc: 5.3522 9.7863 11.7533
angles: 105.53 90.00 90.00
With the nearest neighbours (Å) after each atom.
Atoms (fractional coordinates):
Sm1 0.2500 0.4578 0.0919  6 Tl 3.23-3.47, 1 Sm 3.58
Sm2 0.7500 0.5422 0.9081  6 Tl 3.23-3.47, 1 Sm 3.58
Sm3 0.2500 0.1244 0.1637  6 Sm 3.25-3.60, 3 Tl 3.40-3.54
Sm4 0.7500 0.8756 0.8363  6 Sm 3.25-3.60, 3 Tl 3.40-3.54
Sm5 0.2500 0.6580 0.6803  1 In 3.19, 5 Tl 3.22-3.33
Sm6 0.7500 0.3420 0.3197  1 In 3.19, 5 Tl 3.22-3.33
Sm7 0.2500 0.2407 0.5038  4 Tl 3.27-3.51, 3 In 3.33-3.38
Sm8 0.7500 0.7593 0.4962  4 Tl 3.27-3.51, 3 In 3.33-3.38
Sm9 0.2500 0.8383 0.3099  3 In 3.36-3.39, 3 Tl 3.39-3.43, 5 Sm 3.65-3.67
Sm10 0.7500 0.1617 0.6901  3 In 3.36-3.39, 3 Tl 3.39-3.43, 5 Sm 3.65-3.67
Sm11 0.2500 0.1007 0.8822  1 In 3.16, 3 Tl 3.21-3.23, 3 Sm 3.25-3.42
Sm12 0.7500 0.8993 0.1178  1 In 3.16, 3 Tl 3.21-3.23, 3 Sm 3.25-3.42
Tl1 0.2500 0.5288 0.3882  8 Sm 3.22-3.51
Tl2 0.7500 0.4712 0.6118  8 Sm 3.22-3.51
Tl3 0.2500 0.3802 0.7893  8 Sm 3.21-3.43
Tl4 0.7500 0.6198 0.2107  8 Sm 3.21-3.43
Tl5 0.2500 0.7760 0.9730  9 Sm 3.23-3.61
Tl6 0.7500 0.2240 0.0270  9 Sm 3.23-3.61
In1 0.2500 0.9506 0.6086  8 Sm 3.16-3.39
In2 0.7500 0.0494 0.3914  8 Sm 3.16-3.39



[7]
## Sm8TlIn2 (GGA-PBE)

Data for an optimized crystal structure of Sm8TlIn2.

## Properties
Size of the total moment (μB/atom): 0.000
E (Ha/atom): -0.159
Space group: Immm, No. 71
Energy above the most stable polymorph in this dataset (eV/f.u.): 0.58
Formation energy from the elements (eV/atom): -0.179
Volume (Å³/atom): 31.03

abc: 5.3625 7.6178 9.5672
angles: 113.46 106.28 90.00
With the nearest neighbours (Å) after each atom.
Atoms (fractional coordinates):
Sm1 0.6428 0.8704 0.2855  1 Tl 3.16, 3 In 3.28-3.51, 4 Sm 3.32-3.47
Sm2 0.3572 0.5848 0.7145  1 Tl 3.16, 3 In 3.28-3.51, 4 Sm 3.32-3.47
Sm3 0.1876 0.1876 0.3752  6 Sm 3.32-3.47, 2 In 3.39
Sm4 0.0000 0.2677 0.0000  2 Tl 3.37, 7 Sm 3.54-3.74, 2 In 3.61
Sm5 0.8124 0.8124 0.6248  6 Sm 3.32-3.47, 2 In 3.39
Sm6 0.6428 0.4152 0.2855  1 Tl 3.16, 3 In 3.28-3.51, 4 Sm 3.32-3.47
Sm7 0.3572 0.1296 0.7145  1 Tl 3.16, 3 In 3.28-3.51, 4 Sm 3.32-3.47
Sm8 0.0000 0.7323 0.0000  2 Tl 3.37, 7 Sm 3.54-3.74, 2 In 3.61
Tl1 0.5000 0.0000 0.0000  8 Sm 3.16-3.37
In1 0.1882 0.6881 0.3763  10 Sm 3.28-3.61
In2 0.8118 0.3119 0.6237  10 Sm 3.28-3.61



[8]
## Sm4TlIn (GGA-PBE)

Data for an optimized crystal structure of Sm4TlIn.

## Properties
Size of the total moment (μB/atom): 0.071
E (Ha/atom): -0.150
Space group: C2/m, No. 12
Energy above the most stable polymorph in this dataset (eV/f.u.): 0.00
Formation energy from the elements (eV/atom): -0.073
Volume (Å³/atom): 34.76

abc: 5.2772 5.2815 9.1551
angles: 73.37 73.25 60.03
With the nearest neighbours (Å) after each atom.
Atoms (fractional coordinates):
Sm1 0.6242 0.6247 0.1268  1 In 3.22, 3 Tl 3.24
Sm2 0.3758 0.3753 0.8732  1 In 3.22, 3 Tl 3.24
Sm3 0.1254 0.1255 0.6236  3 In 3.23, 1 Tl 3.25
Sm4 0.8746 0.8745 0.3764  3 In 3.23, 1 Tl 3.25
Tl1 0.0000 0.0000 0.0000  8 Sm 3.24-3.25
In1 0.5000 0.5000 0.5000  8 Sm 3.22-3.23



[9]
## Sm3TlIn (GGA-PBE)

Data for an optimized crystal structure of Sm3TlIn.

## Properties
Size of the total moment (μB/atom): 0.000
E (Ha/atom): -0.154
Space group: Cmcm, No. 63
Energy above the most stable polymorph in this dataset (eV/f.u.): 0.00
Formation energy from the elements (eV/atom): -0.325
Volume (Å³/atom): 29.91

abc: 5.1150 5.1146 11.7137
angles: 90.00 77.39 90.00
With the nearest neighbours (Å) after each atom.
Atoms (fractional coordinates):
Sm1 0.7655 0.2500 0.1174  2 Tl 3.36, 2 In 3.37, 8 Sm 3.62-3.72
Sm2 0.3834 0.2500 0.8815  2 Tl 3.35, 2 In 3.36, 8 Sm 3.62-3.73
Sm3 0.5744 0.2500 0.4996  4 In 3.36-3.37, 4 Tl 3.36-3.37, 4 Sm 3.62
Sm4 0.2649 0.7500 0.1185  2 Tl 3.35, 2 In 3.36, 8 Sm 3.62-3.73
Sm5 0.8829 0.7500 0.8826  2 Tl 3.36, 2 In 3.37, 8 Sm 3.62-3.72
Sm6 0.0740 0.7500 0.5004  4 In 3.36-3.37, 4 Tl 3.36-3.37, 4 Sm 3.62
Tl1 0.4783 0.7500 0.6917  8 Sm 3.35-3.37, 4 In 3.62
Tl2 0.1700 0.2500 0.3083  8 Sm 3.35-3.37, 4 In 3.62
In1 0.6698 0.7500 0.3088  8 Sm 3.36-3.37, 4 Tl 3.62
In2 0.9786 0.2500 0.6912  8 Sm 3.36-3.37, 4 Tl 3.62



[10]
## Sm3Tl2In4 (GGA-PBE)

Data for an optimized crystal structure of Sm3Tl2In4.

## Properties
Size of the total moment (μB/atom): 0.000
E (Ha/atom): -0.134
Space group: P-62m, No. 189
Formation energy from the elements (eV/atom): -0.337
Volume (Å³/atom): 27.48

abc: 4.4739 7.9896 7.9896
angles: 120.00 90.00 90.00
With the nearest neighbours (Å) after each atom.
Atoms (fractional coordinates):
Sm1 0.5000 0.0000 0.3959  1 In 3.16, 4 Tl 3.32
Sm2 0.5000 0.3959 0.0000  1 In 3.16, 4 Tl 3.32
Sm3 0.5000 0.6041 0.6041  1 In 3.16, 4 Tl 3.32
Tl1 0.0000 0.6667 0.3333  3 In 3.02, 6 Sm 3.32
Tl2 0.0000 0.3333 0.6667  3 In 3.02, 6 Sm 3.32
In1 0.5000 0.0000 0.0000  6 In 3.04, 3 Sm 3.16
In2 0.0000 0.2568 0.2568  2 Tl 3.02, 2 In 3.04
In3 0.0000 0.7432 0.0000  2 Tl 3.02, 2 In 3.04
In4 0.0000 0.0000 0.7432  2 Tl 3.02, 2 In 3.04



[11]
## SmTl2In (GGA-PBE)

Data for an optimized crystal structure of SmTl2In.

## Properties
Size of the total moment (μB/atom): 0.000
E (Ha/atom): -0.118
Space group: R-3m, No. 166
Formation energy from the elements (eV/atom): -0.161
Volume (Å³/atom): 28.52

abc: 4.9680 4.9680 6.0594
angles: 65.80 65.80 60.00
With the nearest neighbours (Å) after each atom.
Atoms (fractional coordinates):
Tl1 0.7424 0.7424 0.7728  3 In 3.11, 3 Sm 3.22
Tl2 0.2576 0.2576 0.2272  3 In 3.11, 3 Sm 3.22
Sm1 0.5000 0.5000 0.5000  6 Tl 3.22
In1 0.0000 0.0000 0.0000  6 Tl 3.11



[12]
## Sm3TlIn (GGA-PBE)

Data for an optimized crystal structure of Sm3TlIn.

## Properties
Size of the total moment (μB/atom): 0.000
E (Ha/atom): -0.151
Space group: C2/c, No. 15
Energy above the most stable polymorph in this dataset (eV/f.u.): 0.41
Formation energy from the elements (eV/atom): -0.243
Volume (Å³/atom): 30.19

abc: 10.6752 8.4700 8.4700
angles: 77.20 62.62 62.62
With the nearest neighbours (Å) after each atom.
Atoms (fractional coordinates):
Sm1 0.5202 0.7565 0.0706  2 Tl 3.10-3.29, 2 In 3.22-3.46, 1 Sm 3.32
Sm2 0.9798 0.9294 0.2435  2 Tl 3.10-3.29, 2 In 3.22-3.46, 1 Sm 3.32
Sm3 0.4798 0.2435 0.9294  2 Tl 3.10-3.29, 2 In 3.22-3.46, 1 Sm 3.32
Sm4 0.0202 0.0706 0.7565  2 Tl 3.10-3.29, 2 In 3.22-3.46, 1 Sm 3.32
Sm5 0.9135 0.3732 0.0363  3 In 3.21-3.46, 4 Sm 3.23-3.46, 1 Tl 3.26
Sm6 0.5865 0.9637 0.6268  3 In 3.21-3.46, 4 Sm 3.23-3.46, 1 Tl 3.26
Sm7 0.0865 0.6268 0.9637  3 In 3.21-3.46, 4 Sm 3.23-3.46, 1 Tl 3.26
Sm8 0.4135 0.0363 0.3732  3 In 3.21-3.46, 4 Sm 3.23-3.46, 1 Tl 3.26
Sm9 0.4343 0.6606 0.6909  2 Tl 3.21-3.25, 2 In 3.33-3.58, 2 Sm 3.45-3.46
Sm10 0.0657 0.3091 0.3394  2 Tl 3.21-3.25, 2 In 3.33-3.58, 2 Sm 3.45-3.46
Sm11 0.5657 0.3394 0.3091  2 Tl 3.21-3.25, 2 In 3.33-3.58, 2 Sm 3.45-3.46
Sm12 0.9343 0.6909 0.6606  2 Tl 3.21-3.25, 2 In 3.33-3.58, 2 Sm 3.45-3.46
Tl1 0.7301 0.4605 0.7866  1 Tl 3.04, 5 Sm 3.10-3.29
Tl2 0.7699 0.2134 0.5395  1 Tl 3.04, 5 Sm 3.10-3.29
Tl3 0.2699 0.5395 0.2134  1 Tl 3.04, 5 Sm 3.10-3.29
Tl4 0.2301 0.7866 0.4605  1 Tl 3.04, 5 Sm 3.10-3.29
In1 0.2500 0.0465 0.9535  1 In 3.07, 4 Sm 3.22-3.23
In2 0.7500 0.9535 0.0465  1 In 3.07, 4 Sm 3.22-3.23
In3 0.2500 0.3369 0.6631  1 In 3.07, 4 Sm 3.21-3.33
In4 0.7500 0.6631 0.3369  1 In 3.07, 4 Sm 3.21-3.33